Record 1
# LuTeNO

A relaxed structure of LuTeNO (PBE, OQMD via LeMat-Bulk).

Results
ΔE to the lowest computed polymorph ... 0.060 eV per atom
Total magnetic moment ... 0.0 μB/cell
Density ... 7628 kg/m³

Cell lengths 6.651, 6.688, 6.510 Å; angles 90.00, 90.00, 90.00 degrees
Fractional coordinates of all 16 atoms:
Lu1 0.098 0.139 0.945
Lu2 0.402 0.139 0.445
Lu3 0.598 0.861 0.945
Lu4 0.902 0.861 0.445
Te1 0.135 0.696 0.100
Te2 0.635 0.304 0.100
Te3 0.865 0.304 0.600
Te4 0.365 0.696 0.600
N1 0.104 0.093 0.595
N2 0.396 0.093 0.095
N3 0.604 0.907 0.595
N4 0.896 0.907 0.095
O1 0.966 0.577 0.562
O2 0.466 0.423 0.562
O3 0.534 0.577 0.062
O4 0.034 0.423 0.062

Record 2
# KNaNbOF5

A relaxed structure of KNaNbOF5 (PBE, OQMD via LeMat-Bulk).

Results
ΔE to the lowest computed polymorph ... 0.031 eV per atom
Total magnetic moment ... 0.0 μB/cell
Density ... 3071 kg/m³

Cell lengths 6.387, 6.387, 8.182 Å; angles 90.00, 90.00, 120.48 degrees
Fractional coordinates of all 18 atoms:
F1 0.960 0.651 0.750
F2 0.326 0.674 0.011
F3 0.497 0.503 0.250
F4 0.651 0.960 0.250
F5 0.674 0.326 0.511
F6 0.349 0.040 0.750
F7 0.674 0.326 0.989
F8 0.503 0.497 0.750
F9 0.040 0.349 0.250
F10 0.326 0.674 0.489
O1 0.850 0.150 0.750
O2 0.150 0.850 0.250
K1 0.000 0.000 0.500
K2 0.000 0.000 0.000
Nb1 0.313 0.687 0.250
Nb2 0.687 0.313 0.750
Na1 0.318 0.682 0.750
Na2 0.682 0.318 0.250

Record 3
# SrPrCu

A relaxed structure of SrPrCu (PBE, OQMD via LeMat-Bulk).

Results
ΔE to the lowest computed polymorph ... 0.000 eV per atom
Total magnetic moment ... 0.1 μB/cell
Density ... 5078 kg/m³

Cell lengths 5.131, 5.131, 5.131 Å; angles 60.00, 60.00, 60.00 degrees
Fractional coordinates of all 3 atoms:
Cu1 0.000 0.000 0.000
Pr1 0.250 0.250 0.250
Sr1 0.750 0.750 0.750

Record 4
# Zn4H8O11

A relaxed structure of Zn4H8O11 (PBE, OQMD via LeMat-Bulk).

Results
E ... -4.577 eV/atom
Density ... 3803 kg/m³

Cell lengths 10.507, 5.005, 4.556 Å; angles 109.28, 90.67, 118.48 degrees
Fractional coordinates of all 23 atoms:
H1 0.837 0.783 0.619
H2 0.056 0.745 0.389
H3 0.614 0.448 0.974
H4 0.566 0.336 0.472
H5 0.155 0.454 0.464
H6 0.341 0.527 0.648
H7 0.772 0.373 0.743
H8 0.153 0.189 0.734
O1 0.550 0.460 0.820
O2 0.566 0.255 0.238
O3 0.413 0.746 0.657
O4 0.075 0.335 0.566
O5 0.739 0.139 0.728
O6 0.864 0.758 0.812
O7 0.189 0.057 0.796
O8 0.965 0.582 0.227
O9 0.289 0.626 0.230
O10 0.731 0.950 0.398
O11 0.260 0.848 0.211
Zn1 0.578 0.881 0.043
Zn2 0.034 0.676 0.862
Zn3 0.906 0.133 0.196
Zn4 0.380 0.116 0.932

Record 5
# NdTmGe2Os

A relaxed structure of NdTmGe2Os (PBE, OQMD via LeMat-Bulk).

Results
Total magnetic moment ... 0.0 μB/cell
E ... -6.610 eV/atom
Density ... 10169 kg/m³

Cell lengths 5.819, 5.819, 10.237 Å; angles 115.58, 115.58, 43.66 degrees
Fractional coordinates of all 10 atoms:
Nd1 0.811 0.811 0.887
Nd2 0.189 0.189 0.113
Ge1 0.359 0.359 0.438
Ge2 0.507 0.507 0.868
Ge3 0.641 0.641 0.562
Ge4 0.493 0.493 0.132
Tm1 0.998 0.998 0.670
Tm2 0.002 0.002 0.330
Os1 0.268 0.268 0.626
Os2 0.732 0.732 0.374

Record 6
# PmGePb

A relaxed structure of PmGePb (PBE, OQMD via LeMat-Bulk).

Results
ΔE to the lowest computed polymorph ... 0.197 eV per atom
Total magnetic moment ... 0.0 μB/cell
Density ... 7436 kg/m³

Cell lengths 5.119, 5.119, 5.119 Å; angles 60.00, 60.00, 60.00 degrees
Fractional coordinates of all 3 atoms:
Ge1 0.250 0.250 0.250
Pb1 0.750 0.750 0.750
Pm1 0.000 0.000 0.000

Record 7
# Cu14Te

A relaxed structure of Cu14Te (PBE, OQMD via LeMat-Bulk).

Results
ΔE to the lowest computed polymorph ... 0.127 eV per atom
Density ... 4488 kg/m³

Cell lengths 10.689, 2.638, 26.701 Å; angles 90.00, 90.59, 90.00 degrees
Fractional coordinates of all 30 atoms:
Cu1 0.253 0.750 0.792
Cu2 0.472 0.750 0.039
Cu3 0.421 0.250 0.834
Cu4 0.418 0.250 0.117
Cu5 0.640 0.250 0.806
Cu6 0.362 0.750 0.914
Cu7 0.194 0.250 0.867
Cu8 0.579 0.750 0.166
Cu9 0.582 0.750 0.883
Cu10 0.860 0.250 0.055
Cu11 0.971 0.250 0.181
Cu12 0.193 0.250 0.147
Cu13 0.306 0.250 0.992
Cu14 0.638 0.250 0.086
Cu15 0.807 0.750 0.853
Cu16 0.806 0.750 0.133
Cu17 0.750 0.250 0.930
Cu18 0.083 0.250 0.023
Cu19 0.528 0.250 0.961
Cu20 0.917 0.750 0.977
Cu21 0.250 0.750 0.070
Cu22 0.974 0.250 0.899
Cu23 0.747 0.250 0.208
Cu24 0.694 0.750 0.008
Cu25 0.029 0.750 0.819
Cu26 0.360 0.750 0.194
Cu27 0.140 0.750 0.945
Cu28 0.026 0.750 0.101
Te1 0.856 0.250 0.756
Te2 0.144 0.750 0.244

Record 8
# Gd3Zn4

A relaxed structure of Gd3Zn4 (PBE, OQMD via LeMat-Bulk).

Results
DFT formation energy ... -197 meV/atom
ΔE to the lowest computed polymorph ... 0.000 eV per atom
Total magnetic moment ... 0.5 μB/cell
Density ... 7755 kg/m³

Cell lengths 8.893, 8.893, 4.585 Å; angles 90.00, 90.00, 60.00 degrees
Fractional coordinates of all 14 atoms:
Gd1 0.862 0.751 0.000
Gd2 0.201 0.851 0.500
Gd3 0.662 0.630 0.500
Gd4 0.423 0.090 0.500
Gd5 0.322 0.530 0.000
Gd6 0.101 0.291 0.000
Zn1 0.726 0.392 0.000
Zn2 0.928 0.226 0.500
Zn3 0.798 0.989 0.500
Zn4 0.560 0.356 0.500
Zn5 0.095 0.524 0.500
Zn6 0.429 0.857 0.000
Zn7 0.596 0.154 0.000
Zn8 0.963 0.025 0.000

Record 9
# NaHoSO

A relaxed structure of NaHoSO (PBE, OQMD via LeMat-Bulk).

Results
ΔE to the lowest computed polymorph ... 0.159 eV per atom
Total magnetic moment ... 0.0 μB/cell
Density ... 4205 kg/m³

Cell lengths 4.248, 7.306, 6.007 Å; angles 90.00, 90.00, 90.00 degrees
Fractional coordinates of all 8 atoms:
O1 0.500 0.119 0.190
O2 0.500 0.881 0.690
S1 0.000 0.321 0.650
S2 0.000 0.679 0.150
Na1 0.000 0.299 0.112
Na2 0.000 0.701 0.612
Ho1 0.500 0.141 0.539
Ho2 0.500 0.859 0.039

Record 10
# NaNiAgTe

A relaxed structure of NaNiAgTe (PBE, OQMD via LeMat-Bulk).

Results
ΔE to the lowest computed polymorph ... 0.000 eV per atom
Total magnetic moment ... 0.0 μB/cell
Density ... 7075 kg/m³

Cell lengths 4.722, 4.722, 4.722 Å; angles 60.00, 60.00, 60.00 degrees
Fractional coordinates of all 4 atoms:
Na1 0.750 0.750 0.750
Ni1 0.250 0.250 0.250
Ag1 0.500 0.500 0.500
Te1 0.000 0.000 0.000

Record 11
# Ba2Lu2O5

A relaxed structure of Ba2Lu2O5 (PBE, OQMD via LeMat-Bulk).

Results
ΔE to the lowest computed polymorph ... 1.225 eV per atom
Total magnetic moment ... 2.1 μB/cell
Density ... 7042 kg/m³

Cell lengths 10.698, 3.941, 3.941 Å; angles 90.00, 90.00, 90.00 degrees
Fractional coordinates of all 9 atoms:
O1 0.890 0.000 0.500
O2 0.110 0.500 0.000
O3 0.500 0.500 0.500
O4 0.110 0.000 0.500
O5 0.890 0.500 0.000
Ba1 0.237 0.500 0.500
Ba2 0.763 0.500 0.500
Lu1 0.000 0.000 0.000
Lu2 0.500 0.000 0.000

Record 12
# UBeAg

A relaxed structure of UBeAg (PBE, OQMD via LeMat-Bulk).

Results
Total magnetic moment ... 3.0 μB/cell
E ... -4.581 eV/atom
Density ... 8211 kg/m³

Cell lengths 4.665, 4.665, 4.665 Å; angles 60.00, 60.00, 60.00 degrees
Fractional coordinates of all 3 atoms:
Be1 0.750 0.750 0.750
Ag1 0.250 0.250 0.250
U1 0.000 0.000 0.000

Record 13
# Cu5Ag4

A relaxed structure of Cu5Ag4 (PBE, OQMD via LeMat-Bulk).

Results
DFT formation energy ... 91 meV/atom
ΔE to the lowest computed polymorph ... 0.050 eV per atom
Density ... 9487 kg/m³

Cell lengths 5.745, 5.745, 8.672 Å; angles 104.42, 104.42, 28.30 degrees
Fractional coordinates of all 9 atoms:
Ag1 0.352 0.352 0.115
Ag2 0.645 0.645 0.200
Ag3 0.004 0.004 0.674
Ag4 0.324 0.324 0.440
Cu1 0.670 0.670 0.569
Cu2 0.675 0.675 0.894
Cu3 0.011 0.011 0.362
Cu4 0.995 0.995 0.967
Cu5 0.324 0.324 0.779

Record 14
# Na4GaSiPt2

A relaxed structure of Na4GaSiPt2 (PBE, OQMD via LeMat-Bulk).

Results
Total magnetic moment ... 0.0 μB/cell
E ... -3.375 eV/atom
Density ... 6835 kg/m³

Cell lengths 4.637, 4.637, 6.553 Å; angles 90.00, 90.00, 90.00 degrees
Fractional coordinates of all 8 atoms:
Ga1 0.500 0.500 0.000
Si1 0.000 0.000 0.500
Na1 0.000 0.500 0.751
Na2 0.500 0.000 0.249
Na3 0.000 0.000 0.000
Na4 0.500 0.500 0.500
Pt1 0.500 0.000 0.729
Pt2 0.000 0.500 0.271

Record 15
# TaCdSi

A relaxed structure of TaCdSi (PBE, OQMD via LeMat-Bulk).

Results
ΔE to the lowest computed polymorph ... 0.212 eV per atom
Total magnetic moment ... 0.1 μB/cell
Density ... 8530 kg/m³

Cell lengths 4.456, 4.456, 4.456 Å; angles 60.00, 60.00, 60.00 degrees
Fractional coordinates of all 3 atoms:
Si1 0.750 0.750 0.750
Cd1 0.250 0.250 0.250
Ta1 0.000 0.000 0.000

Record 16
# TbYCF2

A relaxed structure of TbYCF2 (PBE, OQMD via LeMat-Bulk).

Results
Total magnetic moment ... 0.0 μB/cell
E ... -7.220 eV/atom
Density ... 6785 kg/m³

Cell lengths 3.640, 3.640, 6.352 Å; angles 90.00, 90.00, 120.00 degrees
Fractional coordinates of all 5 atoms:
C1 0.000 0.000 0.001
Y1 0.333 0.667 0.213
F1 0.667 0.333 0.386
F2 0.333 0.667 0.613
Tb1 0.667 0.333 0.787

Record 17
# Li2IrAu

A relaxed structure of Li2IrAu (PBE, OQMD via LeMat-Bulk).

Results
Total magnetic moment ... 0.0 μB/cell
E ... -4.019 eV/atom
Density ... 11278 kg/m³

Cell lengths 4.378, 4.378, 4.378 Å; angles 60.00, 60.00, 60.00 degrees
Fractional coordinates of all 4 atoms:
Li1 0.250 0.250 0.250
Li2 0.000 0.000 0.000
Au1 0.750 0.750 0.750
Ir1 0.500 0.500 0.500

Record 18
# TmGa2Pt2

A relaxed structure of TmGa2Pt2 (PBE, OQMD via LeMat-Bulk).

Results
Total magnetic moment ... 0.0 μB/cell
E ... -5.441 eV/atom
Density ... 12481 kg/m³

Cell lengths 6.685, 6.685, 6.685 Å; angles 146.01, 146.01, 48.83 degrees
Fractional coordinates of all 5 atoms:
Ga1 0.250 0.750 0.500
Ga2 0.750 0.250 0.500
Pt1 0.611 0.611 0.000
Pt2 0.389 0.389 0.000
Tm1 0.000 0.000 0.000

Record 19
# RbEr2CuTeS3

A relaxed structure of RbEr2CuTeS3 (PBE, OQMD via LeMat-Bulk).

Results
Total magnetic moment ... 0.0 μB/cell
E ... -5.147 eV/atom
Density ... 5824 kg/m³

Cell lengths 7.307, 7.307, 14.144 Å; angles 90.00, 90.00, 147.72 degrees
Fractional coordinates of all 16 atoms:
Te1 0.444 0.556 0.750
Te2 0.556 0.444 0.250
Rb1 0.136 0.864 0.750
Rb2 0.864 0.136 0.250
S1 0.000 0.000 0.000
S2 0.251 0.749 0.104
S3 0.251 0.749 0.396
S4 0.000 0.000 0.500
S5 0.749 0.251 0.896
S6 0.749 0.251 0.604
Er1 0.367 0.633 0.948
Er2 0.633 0.367 0.448
Er3 0.367 0.633 0.552
Er4 0.633 0.367 0.052
Cu1 0.167 0.833 0.250
Cu2 0.833 0.167 0.750